ScNbAl2 after structural relaxation. Source: Alexandria via LeMat-Bulk, functional PBE-GGA.

Summary:
calculated formation energy = -321.1 meV/atom
total energy = -6.29 eV per atom
crystal system = tetragonal

Lattice parameters (Å, degrees): 4.0483 4.1910 4.1910 90.00 90.00 90.00
Last column: nearest neighbours and their distance in Å.
Positions (direct):
Sc1 0.5000 0.0000 0.0000  8 Al 2.91, 4 Nb 2.96
Nb1 0.5000 0.5000 0.5000  8 Al 2.91, 4 Sc 2.96
Al1 0.0000 0.0000 0.5000  4 Nb 2.91, 4 Sc 2.91, 4 Al 2.96
Al2 0.0000 0.5000 0.0000  4 Nb 2.91, 4 Sc 2.91, 4 Al 2.96